Compound: Cs2NbCI6
Source: Alexandria via LeMat-Bulk
Functional: GGA-PBE
Structure: optimized geometry

uncorrected energy	-3.20	eV/atom
V	805.7	Å³/cell

a = 7.926 Å, b = 7.926 Å, c = 12.824 Å
α = 90.00°, β = 90.00°, γ = 90.00°
Space group I4/mmm (No. 139)
Unique sites:
1 Cs 0.000 0.500 0.250
2 Nb 0.000 0.000 0.000
3 C 0.000 0.000 0.500
4 I 0.000 0.000 0.222
5 I 0.243 0.243 0.500

=====

Compound: MgAgF5
Source: Alexandria via LeMat-Bulk
Functional: GGA-PBE
Structure: optimized geometry

uncorrected energy	-3.97	eV/atom
V	406.7	Å³/cell

a = 5.282 Å, b = 9.567 Å, c = 8.550 Å
α = 90.00°, β = 109.72°, γ = 90.00°
Space group P2_1/c (No. 14)
Unique sites:
1 Mg 0.012 0.010 0.206
2 Ag 0.392 0.240 0.633
3 F 0.101 0.109 0.639
4 F 0.125 0.109 0.013
5 F 0.249 0.143 0.350
6 F 0.319 0.631 0.374
7 F 0.343 0.608 0.728

=====

Question: The highest uncorrected energy belongs to which entry?
Answer: Cs2NbCI6

=====

Question: What is the formula in the first record?
Answer: Cs2NbCI6